[1]
VASP calculation (PBE) on Cs2AsSI6 after structural relaxation.

Summary:
The density of states at the Fermi level is 0.44 states/eV per atom. Its uncorrected formation energy is -0.576 eV per atom.

a = 8.261 Å, b = 8.261 Å, c = 8.261 Å
α = 118.96°, β = 118.96°, γ = 91.80°
Positions (direct):
Cs (0.250, 0.750, 0.500)
Cs (0.750, 0.250, 0.500)
As (0.000, 0.000, 0.000)
S (0.500, 0.500, 0.000)
I (0.244, 0.244, 0.488)
I (0.244, 0.756, 0.000)
I (0.253, 0.253, 0.000)
I (0.747, 0.747, 0.000)
I (0.756, 0.244, 0.000)
I (0.756, 0.756, 0.512)

=====

[2]
VASP calculation (PBE) on PrSm3Er6 after structural relaxation.

Summary:
The density of states at the Fermi level is 1.45 states/eV per atom. Its energy relative to the elements is 0.150 eV per atom.

a = 10.975 Å, b = 10.975 Å, c = 6.212 Å
α = 90.00°, β = 90.00°, γ = 119.43°
Positions (direct):
Pr (0.206, 0.794, 0.500)
Pr (0.794, 0.206, 0.000)
Sm (0.065, 0.283, 0.312)
Sm (0.283, 0.065, 0.812)
Sm (0.392, 0.608, 0.418)
Sm (0.608, 0.392, 0.918)
Sm (0.717, 0.935, 0.312)
Sm (0.935, 0.717, 0.812)
Er (0.037, 0.460, 0.718)
Er (0.046, 0.954, 0.261)
Er (0.284, 0.716, 0.990)
Er (0.287, 0.383, 0.881)
Er (0.383, 0.287, 0.381)
Er (0.460, 0.037, 0.218)
Er (0.540, 0.963, 0.718)
Er (0.617, 0.713, 0.881)
Er (0.713, 0.617, 0.381)
Er (0.716, 0.284, 0.490)
Er (0.954, 0.046, 0.761)
Er (0.963, 0.540, 0.218)

=====

[3]
VASP calculation (PBE) on Cs3Cd2Pb4 after structural relaxation.

Summary:
The density of states at the Fermi level is 0.47 states/eV per atom. Its energy relative to the elements is -0.110 eV per atom.

a = 4.951 Å, b = 7.847 Å, c = 11.293 Å
α = 77.97°, β = 89.98°, γ = 71.61°
Positions (direct):
Cs (0.000, 0.000, 0.000)
Cs (0.382, 0.236, 0.602)
Cs (0.618, 0.764, 0.398)
Cd (0.341, 0.320, 0.186)
Cd (0.659, 0.680, 0.814)
Pb (0.110, 0.780, 0.674)
Pb (0.284, 0.432, 0.903)
Pb (0.716, 0.568, 0.097)
Pb (0.890, 0.220, 0.326)

=====

[4]
VASP calculation (PBE) on KTiSn2Cl8 after structural relaxation.

Summary:
The density of states at the Fermi level is 0.47 states/eV per atom. Its uncorrected formation energy is -1.322 eV per atom.

a = 6.391 Å, b = 6.659 Å, c = 8.493 Å
α = 90.11°, β = 90.12°, γ = 92.11°
Positions (direct):
K (0.000, 0.000, 0.000)
Ti (0.000, 0.000, 0.500)
Sn (0.500, 0.500, 0.257)
Sn (0.500, 0.500, 0.743)
Cl (0.219, 0.709, 0.500)
Cl (0.223, 0.155, 0.296)
Cl (0.224, 0.154, 0.706)
Cl (0.283, 0.634, 0.000)
Cl (0.717, 0.366, 0.000)
Cl (0.776, 0.846, 0.294)
Cl (0.777, 0.845, 0.704)
Cl (0.781, 0.291, 0.500)

=====

[5]
VASP calculation (PBE) on YNi2Mo after structural relaxation.

Summary:
The density of states at the Fermi level is 1.12 states/eV per atom. Its energy relative to the elements is 0.117 eV per atom.

a = 4.556 Å, b = 4.556 Å, c = 3.093 Å
α = 90.00°, β = 90.00°, γ = 90.00°
Positions (direct):
Y (0.000, 0.000, 0.000)
Ni (0.000, 0.500, 0.500)
Ni (0.500, 0.000, 0.500)
Mo (0.500, 0.500, 0.000)

=====

[6]
VASP calculation (PBE) on PmPd2Pb after structural relaxation.

Summary:
The density of states at the Fermi level is 0.87 states/eV per atom. Its energy relative to the elements is -0.555 eV per atom.

a = 4.804 Å, b = 4.804 Å, c = 3.772 Å
α = 90.00°, β = 90.00°, γ = 90.00°
Positions (direct):
Pm (0.000, 0.000, 0.000)
Pd (0.000, 0.500, 0.500)
Pd (0.500, 0.000, 0.500)
Pb (0.500, 0.500, 0.000)